VCrGa3, relaxed, DFT PBE; offset from the most stable computed form = 0.00 kJ/mol of atoms; energy of formation = 58.50 kJ per mole of atoms; symmetry = Pm-3m (221); E_tot = -24.79 eV per formula unit
1.0
4.614 0.000 0.000
0.000 4.614 0.000
0.000 0.000 4.614
V Cr Ga
1 1 3
direct
0.000 0.000 0.000 V
0.500 0.500 0.500 Cr
0.000 0.500 0.500 Ga
0.500 0.000 0.500 Ga
0.500 0.500 0.000 Ga

=====

Sc2CdNiH, relaxed, DFT PBE; offset from the most stable computed form = 100.49 kJ/mol of atoms; symmetry = P4/mmm (123); E_tot = -19.32 eV per formula unit
1.0
5.386 0.000 0.000
0.000 5.386 0.000
0.000 0.000 3.417
Sc Cd Ni H
2 1 1 1
direct
0.000 0.500 0.000 Sc
0.500 0.000 0.000 Sc
0.000 0.000 0.000 Cd
0.500 0.500 0.500 Ni
0.000 0.000 0.500 H

=====

Tl2Sn3, relaxed, DFT PBE; offset from the most stable computed form = 3.40 kJ/mol of atoms; energy of formation = 9.25 kJ per mole of atoms; symmetry = Immm (71); E_tot = -16.26 eV per formula unit
1.0
-2.553 3.256 4.704
2.553 -3.256 4.704
2.553 3.256 -4.704
Tl Sn
2 3
direct
0.201 0.201 0.000 Tl
0.799 0.799 0.000 Tl
0.229 0.500 0.729 Sn
0.500 0.000 0.500 Sn
0.771 0.500 0.271 Sn

=====

BaLa4Mg5, relaxed, DFT PBE; energy of formation = -9.22 kJ per mole of atoms; symmetry = P4/mmm (123); E_tot = -30.56 eV per formula unit
1.0
4.014 0.000 0.000
0.000 4.014 0.000
0.000 0.000 20.453
Ba La Mg
1 4 5
direct
0.000 0.000 0.000 Ba
0.000 0.000 0.215 La
0.000 0.000 0.405 La
0.000 0.000 0.595 La
0.000 0.000 0.785 La
0.500 0.500 0.120 Mg
0.500 0.500 0.309 Mg
0.500 0.500 0.500 Mg
0.500 0.500 0.691 Mg
0.500 0.500 0.880 Mg